TaCo2Os: relaxed, PBE-GGA.

For the density of states at the Fermi level, the calculation gives 2.71 states/eV/cell. The energy of formation comes out at -0.0943 eV per atom. For the excess energy over the best structure of this formula in the dataset, the calculation gives 0.0906 eV/atom. Its crystal system is orthorhombic. The calculation puts the final energy at -9.418 eV/atom.

Lattice parameters (Å, degrees): 2.7024 4.2541 4.5761 90.00 90.00 90.00
With the nearest neighbours (Å) after each atom.
Element x y z (fractional)
Ta (0.0000, 0.0000, 0.0000)  8 Co 2.63-2.67, 2 Ta 2.70, 2 Os 2.71
Co (0.5000, 0.0000, 0.5037)  4 Os 2.60, 4 Co 2.60-2.70, 4 Ta 2.64-2.67
Co (0.5000, 0.5000, 0.8322)  4 Os 2.52-2.80, 4 Co 2.60-2.70, 4 Ta 2.63
Os (0.0000, 0.5000, 0.3683)  8 Co 2.52-2.80, 2 Os 2.70, 2 Ta 2.71


TaCoOs2: relaxed, PBE-GGA.

For the density of states at the Fermi level, the calculation gives 3.05 states/eV/cell. The energy of formation comes out at -0.0040 eV per atom. Its crystal system is monoclinic. The calculation puts the final energy at -10.359 eV/atom.

Lattice parameters (Å, degrees): 4.7123 4.7123 4.6663 100.25 100.25 34.64
With the nearest neighbours (Å) after each atom.
Element x y z (fractional)
Ta (0.0000, 0.0000, 0.0000)  3 Co 2.67-2.72, 7 Os 2.69-2.84, 2 Ta 2.81
Co (0.2481, 0.2481, 0.7619)  7 Os 2.59-2.85, 3 Ta 2.67-2.72, 2 Co 2.81
Os (0.5022, 0.5022, 0.5078)  5 Os 2.64-2.81, 4 Ta 2.69-2.75, 3 Co 2.70-2.76
Os (0.7569, 0.7569, 0.2976)  4 Co 2.59-2.85, 5 Os 2.64-2.81, 3 Ta 2.80-2.84


TaCoOs2: relaxed, PBE-GGA.

For the density of states at the Fermi level, the calculation gives 4.77 states/eV/cell. The energy of formation comes out at 0.1913 eV per atom. Its crystal system is trigonal. The calculation puts the final energy at -10.163 eV/atom.

Lattice parameters (Å, degrees): 9.0415 9.0415 9.0415 17.46 17.46 17.46
With the nearest neighbours (Å) after each atom.
Element x y z (fractional)
Ta (0.0000, 0.0000, 0.0000)  3 Co 2.72, 6 Ta 2.74, 3 Os 2.90
Co (0.7494, 0.7494, 0.7494)  3 Os 2.61, 3 Ta 2.72, 6 Co 2.74
Os (0.2422, 0.2422, 0.2422)  9 Os 2.70-2.74, 3 Ta 2.90
Os (0.4937, 0.4937, 0.4937)  3 Co 2.61, 9 Os 2.70-2.74


Ta2CoOs: relaxed, PBE-GGA.

For the density of states at the Fermi level, the calculation gives 2.60 states/eV/cell. The energy of formation comes out at -0.1040 eV per atom. For the excess energy over the best structure of this formula in the dataset, the calculation gives 0.0977 eV/atom. Its crystal system is tetragonal. The calculation puts the final energy at -10.614 eV/atom.

Lattice parameters (Å, degrees): 4.9985 4.9985 4.9985 135.05 135.05 65.46
With the nearest neighbours (Å) after each atom.
Element x y z (fractional)
Ta (0.0000, 0.0000, 0.0000)  4 Os 2.70, 4 Ta 2.84, 4 Co 2.84
Ta (0.7500, 0.2500, 0.5000)  4 Co 2.70, 4 Ta 2.84, 4 Os 2.84
Co (0.2500, 0.7500, 0.5000)  8 Ta 2.70-2.84, 4 Os 2.84
Os (0.5000, 0.5000, 0.0000)  8 Ta 2.70-2.84, 4 Co 2.84


TaCo2Os: relaxed, PBE-GGA.

For the density of states at the Fermi level, the calculation gives 3.84 states/eV/cell. The energy of formation comes out at 0.2220 eV per atom. For the excess energy over the best structure of this formula in the dataset, the calculation gives 0.4069 eV/atom. Its crystal system is trigonal. The calculation puts the final energy at -9.102 eV/atom.

Lattice parameters (Å, degrees): 8.7227 8.7227 8.7227 17.81 17.81 17.81
With the nearest neighbours (Å) after each atom.
Element x y z (fractional)
Ta (0.0000, 0.0000, 0.0000)  6 Ta 2.70, 6 Co 2.72
Co (0.2466, 0.2466, 0.2466)  3 Os 2.58, 6 Co 2.70, 3 Ta 2.72
Co (0.7534, 0.7534, 0.7534)  3 Os 2.58, 6 Co 2.70, 3 Ta 2.72
Os (0.5000, 0.5000, 0.5000)  6 Co 2.58, 6 Os 2.70


TaCoOs: relaxed, PBE-GGA.

For the density of states at the Fermi level, the calculation gives 2.92 states/eV/cell. The energy of formation comes out at -0.0385 eV per atom. For the excess energy over the best structure of this formula in the dataset, the calculation gives 0.2454 eV/atom. Its crystal system is tetragonal. The calculation puts the final energy at -10.101 eV/atom.

Lattice parameters (Å, degrees): 4.9201 4.9201 4.9201 142.37 142.37 54.28
With the nearest neighbours (Å) after each atom.
Element x y z (fractional)
Ta (0.0000, 0.0000, 0.0000)  4 Co 2.64, 5 Os 2.68-2.92
Co (0.6598, 0.6598, 0.0000)  4 Ta 2.64, 5 Os 2.71-2.86
Os (0.3331, 0.3331, 0.0000)  5 Ta 2.68-2.92, 5 Co 2.71-2.86


Ta2CoOs: relaxed, PBE-GGA.

For the density of states at the Fermi level, the calculation gives 3.98 states/eV/cell. The energy of formation comes out at -0.0726 eV per atom. For the excess energy over the best structure of this formula in the dataset, the calculation gives 0.1290 eV/atom. Its crystal system is monoclinic. The calculation puts the final energy at -10.583 eV/atom.

Lattice parameters (Å, degrees): 4.8965 4.8965 4.5903 101.62 101.62 35.25
With the nearest neighbours (Å) after each atom.
Element x y z (fractional)
Ta (0.0000, 0.0000, 0.0000)  3 Os 2.65-2.81, 4 Co 2.72-2.75, 3 Ta 2.81-2.97
Ta (0.2247, 0.2247, 0.6779)  3 Co 2.65-2.76, 4 Os 2.67-2.83, 3 Ta 2.81-2.97
Co (0.4873, 0.4873, 0.4902)  7 Ta 2.65-2.76, 2 Os 2.70, 2 Co 2.97
Os (0.7567, 0.7567, 0.2118)  7 Ta 2.65-2.83, 2 Co 2.70, 2 Os 2.97


TaCo2Os: relaxed, PBE-GGA.

For the density of states at the Fermi level, the calculation gives 4.00 states/eV/cell. The energy of formation comes out at -0.1849 eV per atom. For the excess energy over the best structure of this formula in the dataset, the calculation gives 0.0000 eV/atom. Its crystal system is tetragonal. The calculation puts the final energy at -9.508 eV/atom.

Lattice parameters (Å, degrees): 3.7628 3.7628 3.7212 90.00 90.00 90.00
With the nearest neighbours (Å) after each atom.
Element x y z (fractional)
Ta (0.0000, 0.0000, 0.0000)  8 Co 2.65, 4 Os 2.66
Co (0.0000, 0.5000, 0.5000)  4 Ta 2.65, 4 Os 2.65, 4 Co 2.66
Co (0.5000, 0.0000, 0.5000)  4 Ta 2.65, 4 Os 2.65, 4 Co 2.66
Os (0.5000, 0.5000, 0.0000)  8 Co 2.65, 4 Ta 2.66


TaCo2Os: relaxed, PBE-GGA.

For the density of states at the Fermi level, the calculation gives 3.45 states/eV/cell. The energy of formation comes out at -0.0652 eV per atom. For the excess energy over the best structure of this formula in the dataset, the calculation gives 0.1197 eV/atom. Its crystal system is orthorhombic. The calculation puts the final energy at -9.389 eV/atom.

Lattice parameters (Å, degrees): 2.6929 3.6756 5.3419 90.00 90.00 90.00
With the nearest neighbours (Å) after each atom.
Element x y z (fractional)
Ta (0.0000, 0.0000, 0.0000)  2 Os 2.67, 8 Co 2.69, 2 Ta 2.69
Co (0.5000, 0.5000, 0.2667)  3 Co 2.49-2.69, 4 Os 2.60, 4 Ta 2.69
Co (0.5000, 0.5000, 0.7333)  3 Co 2.49-2.69, 4 Os 2.60, 4 Ta 2.69
Os (0.0000, 0.0000, 0.5000)  8 Co 2.60, 2 Ta 2.67, 2 Os 2.69


TaCo2Os: relaxed, PBE-GGA.

For the density of states at the Fermi level, the calculation gives 4.29 states/eV/cell. The energy of formation comes out at 0.0556 eV per atom. For the excess energy over the best structure of this formula in the dataset, the calculation gives 0.2405 eV/atom. Its crystal system is monoclinic. The calculation puts the final energy at -9.268 eV/atom.

Lattice parameters (Å, degrees): 4.5850 4.5850 4.5547 101.43 101.43 35.69
With the nearest neighbours (Å) after each atom.
Element x y z (fractional)
Ta (0.0000, 0.0000, 0.0000)  4 Os 2.68, 6 Co 2.68-2.70, 2 Ta 2.81
Co (0.2447, 0.2447, 0.7293)  6 Co 2.53-2.82, 3 Os 2.59-2.65, 3 Ta 2.68-2.70
Co (0.7553, 0.7553, 0.2707)  6 Co 2.53-2.82, 3 Os 2.59-2.65, 3 Ta 2.68-2.70
Os (0.5000, 0.5000, 0.5000)  6 Co 2.59-2.65, 4 Ta 2.68, 2 Os 2.81


Ta3Co2Os: relaxed, PBE-GGA.

For the density of states at the Fermi level, the calculation gives 6.63 states/eV/cell. The energy of formation comes out at -0.1847 eV per atom. Its crystal system is orthorhombic. The calculation puts the final energy at -10.351 eV/atom.

Lattice parameters (Å, degrees): 7.0960 7.0960 3.0198 90.00 90.00 143.67
With the nearest neighbours (Å) after each atom.
Element x y z (fractional)
Ta (0.0000, 0.0000, 0.0000)  4 Co 2.53, 4 Os 2.68
Ta (0.3235, 0.6765, 0.0000)  6 Co 2.70-2.78, 2 Os 2.82, 4 Ta 2.97-3.02
Ta (0.6765, 0.3235, 0.0000)  6 Co 2.70-2.78, 2 Os 2.82, 4 Ta 2.97-3.02
Co (0.1507, 0.8493, 0.5000)  8 Ta 2.53-2.78
Co (0.8493, 0.1507, 0.5000)  8 Ta 2.53-2.78
Os (0.5000, 0.5000, 0.5000)  8 Ta 2.68-2.82


Ta2CoOs: relaxed, PBE-GGA.

For the density of states at the Fermi level, the calculation gives 6.51 states/eV/cell. The energy of formation comes out at -0.1360 eV per atom. For the excess energy over the best structure of this formula in the dataset, the calculation gives 0.0657 eV/atom. Its crystal system is monoclinic. The calculation puts the final energy at -10.646 eV/atom.

Lattice parameters (Å, degrees): 9.1021 9.1021 4.5944 99.06 99.06 19.28
With the nearest neighbours (Å) after each atom.
Element x y z (fractional)
Ta (0.0556, 0.0556, 0.2566)  4 Co 2.60-2.63, 2 Os 2.70, 1 Ta 2.84
Ta (0.1802, 0.1802, 0.8374)  2 Co 2.59, 5 Os 2.71-2.79
Ta (0.8198, 0.8198, 0.1626)  2 Co 2.59, 5 Os 2.71-2.79
Ta (0.9444, 0.9444, 0.7434)  4 Co 2.60-2.63, 2 Os 2.70, 1 Ta 2.84
Co (0.4375, 0.4375, 0.2812)  6 Ta 2.59-2.63, 1 Co 2.76
Co (0.5625, 0.5625, 0.7188)  6 Ta 2.59-2.63, 1 Co 2.76
Os (0.3183, 0.3183, 0.6692)  7 Ta 2.70-2.79, 1 Co 3.00
Os (0.6817, 0.6817, 0.3308)  7 Ta 2.70-2.79, 1 Co 3.00


TaCoOs2: relaxed, PBE-GGA.

For the density of states at the Fermi level, the calculation gives 4.40 states/eV/cell. The energy of formation comes out at 0.1835 eV per atom. Its crystal system is trigonal. The calculation puts the final energy at -10.171 eV/atom.

Lattice parameters (Å, degrees): 9.1052 9.1052 9.1052 17.30 17.30 17.30
With the nearest neighbours (Å) after each atom.
Element x y z (fractional)
Ta (0.0000, 0.0000, 0.0000)  6 Ta 2.74, 6 Os 2.89
Co (0.5000, 0.5000, 0.5000)  6 Os 2.60, 6 Co 2.74
Os (0.2432, 0.2432, 0.2432)  3 Co 2.60, 6 Os 2.74, 3 Ta 2.89
Os (0.7568, 0.7568, 0.7568)  3 Co 2.60, 6 Os 2.74, 3 Ta 2.89


Ta4CoOs: relaxed, PBE-GGA.

For the density of states at the Fermi level, the calculation gives 8.17 states/eV/cell. The energy of formation comes out at 0.5897 eV per atom. Its crystal system is cubic. The calculation puts the final energy at -10.368 eV/atom.

Lattice parameters (Å, degrees): 5.2736 5.2736 5.2736 60.00 60.00 60.00
With the nearest neighbours (Å) after each atom.
Element x y z (fractional)
Ta (0.3755, 0.3755, 0.3755)  6 Ta 2.63-2.65
Ta (0.3755, 0.3755, 0.8734)  6 Ta 2.63-2.65
Ta (0.3755, 0.8734, 0.3755)  6 Ta 2.63-2.65
Ta (0.8734, 0.3755, 0.3755)  6 Ta 2.63-2.65
Co (0.0000, 0.0000, 0.0000)  12 Ta 3.09, 4 Os 3.23
Os (0.7500, 0.7500, 0.7500)  12 Ta 3.09, 4 Co 3.23